# 1
ScBeFe2 | PBE | optimized geometry

Computed properties:
The calculated density is 5.0 Mg/m³. Its energy of formation from the pure elements is -0.284 eV per formula unit. As for the raw total energy: -6.817 eV per atom. As for the calculated volume: 13.74 Å³ per atom.

a = 3.8550 Å, b = 3.8550 Å, c = 12.8136 Å
α = 90.00°, β = 90.00°, γ = 120.00°
Space group R3m (No. 160, hexagonal axes)
Unique sites:
Sc  0.0000  0.0000  0.0000 x3
Be  0.0000  0.0000  0.1998 x3
Fe  0.0000  0.0000  0.5142 x3
Fe  0.0000  0.0000  0.7957 x3

# 2
Nd4HgAu2 | PBE | optimized geometry

Computed properties:
The calculated density is 9.6 Mg/m³. Its energy of formation from the pure elements is -3.478 eV per formula unit. As for the raw total energy: -4.201 eV per atom. As for the calculated volume: 29.09 Å³ per atom.

a = 5.2574 Å, b = 5.2574 Å, c = 25.5191 Å
α = 90.00°, β = 90.00°, γ = 120.00°
Space group R-3m (No. 166, hexagonal axes)
Unique sites:
Nd  0.0000  0.0000  0.1201 x6
Nd  0.0000  0.0000  0.3719 x6
Hg  0.0000  0.0000  0.5000 x3
Au  0.0000  0.0000  0.2509 x6

# 3
NaLiGe2F6 | PBE | optimized geometry

Computed properties:
The calculated density is 2.9 Mg/m³. As for the formation energy without anion corrections: -2.431 eV/atom. As for the raw total energy: -4.801 eV per atom. As for the calculated volume: 16.41 Å³ per atom.

a = 9.967 Å, b = 10.460 Å, c = 6.984 Å
α = 90.00°, β = 115.69°, γ = 90.00°
Space group C2/c (No. 15)
Unique sites:
Na  0.000  0.056  0.250 x4
Li  0.000  0.249  0.750 x4
Ge  0.178  0.371  0.266 x8
F  0.108  0.119  0.663 x8
F  0.123  0.356  0.974 x8
F  0.185  0.190  0.292 x8